Entry from Alexandria: an optimized crystal structure of Cu2AgSe (GGA-PBE).

Lattice parameters (Å, degrees): 4.789 4.789 4.789 129.92 130.14 73.36
Sites, in units of the cell vectors:
Ag  0.250  0.750  0.500
Cu  0.001  0.001  0.000
Cu  0.499  0.499  0.000
Se  0.750  0.250  0.500

Results
V (Å³/f.u.): 62.8
Uncorrected formation energy (meV/atom): 179.2